1.
The following is a DFT calculation (PBE-GGA) of an optimized crystal structure of Mn2FeCo.

Properties
calculated formation energy = 0.068 eV per atom

abc: 2.4656 2.4656 23.8871
angles: 90.00 90.00 120.00
Space group R3m (No. 160, hexagonal axes)
Asymmetric unit:
1 Mn 0.0000 0.0000 0.0000 (multiplicity 3)
2 Mn 0.0000 0.0000 0.1642 (multiplicity 3)
3 Fe 0.0000 0.0000 0.7475 (multiplicity 3)
4 Co 0.0000 0.0000 0.5833 (multiplicity 3)

2.
The following is a DFT calculation (PBE-GGA) of an optimized crystal structure of Gd2HgBr.

Properties
uncorrected energy = -8.261 eV/atom

abc: 4.2395 4.2395 21.8527
angles: 90.00 90.00 120.00
Space group R-3m (No. 166, hexagonal axes)
Asymmetric unit:
1 Gd 0.0000 0.0000 0.2494 (multiplicity 6)
2 Hg 0.0000 0.0000 0.5000 (multiplicity 3)
3 Br 0.0000 0.0000 0.0000 (multiplicity 3)

3.
The following is a DFT calculation (PBE-GGA) of an optimized crystal structure of CuMo2Os.

Properties
calculated formation energy = 0.239 eV per atom

abc: 3.872 3.872 7.805
angles: 90.00 90.00 90.00
Space group I-4m2 (No. 119)
Asymmetric unit:
1 Cu 0.000 0.000 0.000 (multiplicity 2)
2 Mo 0.000 0.000 0.500 (multiplicity 2)
3 Mo 0.000 0.500 0.250 (multiplicity 2)
4 Os 0.000 0.500 0.750 (multiplicity 2)

4.
The following is a DFT calculation (PBE-GGA) of an optimized crystal structure of HoTmCoRh.

Properties
calculated formation energy = -0.549 eV per atom

abc: 6.708 6.708 6.708
angles: 90.00 90.00 90.00
Space group F-43m (No. 216)
Asymmetric unit:
1 Ho 0.000 0.000 0.000 (multiplicity 4)
2 Tm 0.000 0.000 0.500 (multiplicity 4)
3 Co 0.250 0.250 0.750 (multiplicity 4)
4 Rh 0.250 0.250 0.250 (multiplicity 4)

5.
The following is a DFT calculation (PBE-GGA) of an optimized crystal structure of Nd11Sm9Dy4.

Properties
calculated formation energy = 0.056 eV per atom

abc: 17.139 26.136 3.693
angles: 90.00 90.00 90.00
Space group Cmmm (No. 65)
Asymmetric unit:
1 Nd 0.000 0.000 0.000 (multiplicity 2)
2 Nd 0.000 0.162 0.000 (multiplicity 4)
3 Nd 0.000 0.369 0.000 (multiplicity 4)
4 Nd 0.209 0.500 0.000 (multiplicity 4)
5 Nd 0.223 0.181 0.000 (multiplicity 8)
6 Sm 0.000 0.500 0.500 (multiplicity 2)
7 Sm 0.103 0.268 0.500 (multiplicity 8)
8 Sm 0.139 0.074 0.500 (multiplicity 8)
9 Dy 0.158 0.398 0.500 (multiplicity 8)

6.
The following is a DFT calculation (PBE-GGA) of an optimized crystal structure of Ac3Sm2Ho.

Properties
calculated formation energy = 0.065 eV per atom

abc: 10.822 7.566 12.584
angles: 90.00 115.43 90.00
Space group C2/c (No. 15)
Asymmetric unit:
1 Ac 0.000 0.124 0.250 (multiplicity 4)
2 Ac 0.166 0.375 0.083 (multiplicity 8)
3 Sm 0.168 0.125 0.584 (multiplicity 8)
4 Ho 0.000 0.376 0.750 (multiplicity 4)

V across the listed records, respectively: 10.480; 28.345; 14.626; 18.861; 34.469; 38.769 Å³/atom.
M_tot across the listed records, respectively: 0.5; 14.2; 0.0; 0.4; 0.0; 0.0 μB per formula unit.